(1)
# Cs4InHg4 | Alexandria via LeMat-Bulk | PBE-GGA | optimized geometry
data_Cs4InHg4
_space_group_name_H-M_alt 'I -4 2 m'
_space_group_IT_number 121
_space_group_name_Hall 'I -4 2'
_cell_length_a 7.900
_cell_length_b 7.900
_cell_length_c 15.825
_cell_angle_alpha 90.00
_cell_angle_beta 90.00
_cell_angle_gamma 90.00
loop_
_atom_site_label
_atom_site_fract_x
_atom_site_fract_y
_atom_site_fract_z
Cs1 0.213 0.213 0.142
In1 0.000 0.000 0.500
Hg1 0.220 0.220 0.390
# Total moment (μB/cell): 0.000
# Total energy (eV per atom): -0.98

(2)
# Cs3In2Hg4 | Alexandria via LeMat-Bulk | PBE-GGA | optimized geometry
data_Cs3In2Hg4
_space_group_name_H-M_alt 'C 1 2/c 1'
_space_group_IT_number 15
_cell_length_a 15.763
_cell_length_b 12.205
_cell_length_c 8.616
_cell_angle_alpha 90.00
_cell_angle_beta 102.77
_cell_angle_gamma 90.00
loop_
_space_group_symop_operation_xyz
'x,y,z'
'-x,-y,-z'
'-x,y,-z+1/2'
'x,-y,z+1/2'
'x+1/2,y+1/2,z'
'-x+1/2,-y+1/2,-z'
'-x+1/2,y+1/2,-z+1/2'
'x+1/2,-y+1/2,z+1/2'
loop_
_atom_site_label
_atom_site_fract_x
_atom_site_fract_y
_atom_site_fract_z
Cs1 0.000 0.068 0.250
Cs2 0.113 0.357 0.594
In1 0.184 0.155 0.950
Hg1 0.125 0.329 0.154
Hg2 0.208 0.043 0.653
# Total moment (μB/cell): 0.000
# Total energy (eV per atom): -1.19

(3)
# Cs4In3Hg16 | Alexandria via LeMat-Bulk | PBE-GGA | optimized geometry
data_Cs4In3Hg16
_space_group_name_H-M_alt 'P 4/m m m'
_space_group_IT_number 123
_space_group_name_Hall '-P 4 2'
_cell_length_a 7.551
_cell_length_b 7.551
_cell_length_c 14.337
_cell_angle_alpha 90.00
_cell_angle_beta 90.00
_cell_angle_gamma 90.00
loop_
_atom_site_label
_atom_site_fract_x
_atom_site_fract_y
_atom_site_fract_z
Cs1 0.000 0.500 0.195
In1 0.000 0.000 0.000
In2 0.000 0.500 0.500
Hg1 0.000 0.000 0.224
Hg2 0.220 0.220 0.386
Hg3 0.292 0.292 0.000
Hg4 0.500 0.500 0.308
# Total moment (μB/cell): 0.000
# Total energy (eV per atom): -0.85

(4)
# Cs2InHg2 | Alexandria via LeMat-Bulk | PBE-GGA | optimized geometry
data_Cs2InHg2
_space_group_name_H-M_alt 'C 1 2/m 1'
_space_group_IT_number 12
_cell_length_a 14.516
_cell_length_b 5.325
_cell_length_c 13.323
_cell_angle_alpha 90.00
_cell_angle_beta 118.77
_cell_angle_gamma 90.00
loop_
_space_group_symop_operation_xyz
'x,y,z'
'-x,-y,-z'
'-x,y,-z'
'x,-y,z'
'x+1/2,y+1/2,z'
'-x+1/2,-y+1/2,-z'
'-x+1/2,y+1/2,-z'
'x+1/2,-y+1/2,z'
loop_
_atom_site_label
_atom_site_fract_x
_atom_site_fract_y
_atom_site_fract_z
Cs1 0.009 0.000 0.165
Cs2 0.194 0.000 0.612
In1 0.221 0.500 0.866
Hg1 0.002 0.500 0.621
Hg2 0.173 0.500 0.061
# Total moment (μB/cell): 0.000
# Total energy (eV per atom): -1.20
# Excess energy over the best structure of this formula in the dataset (eV per atom): 0.0054

(5)
# CsIn4Hg12 | Alexandria via LeMat-Bulk | PBE-GGA | optimized geometry
data_CsIn4Hg12
_space_group_name_H-M_alt 'I m -3'
_space_group_IT_number 204
_space_group_name_Hall '-I 2 2 3'
_cell_length_a 10.342
_cell_length_b 10.342
_cell_length_c 10.342
_cell_angle_alpha 90.00
_cell_angle_beta 90.00
_cell_angle_gamma 90.00
loop_
_atom_site_label
_atom_site_fract_x
_atom_site_fract_y
_atom_site_fract_z
Cs1 0.000 0.000 0.000
In1 0.250 0.250 0.250
Hg1 0.000 0.150 0.354
# Total moment (μB/cell): 0.000
# Total energy (eV per atom): -0.92

(6)
# CsInHg11 | Alexandria via LeMat-Bulk | PBE-GGA | optimized geometry
data_CsInHg11
_space_group_name_H-M_alt 'C 1 2/m 1'
_space_group_IT_number 12
_cell_length_a 6.417
_cell_length_b 15.178
_cell_length_c 8.732
_cell_angle_alpha 90.00
_cell_angle_beta 110.22
_cell_angle_gamma 90.00
loop_
_space_group_symop_operation_xyz
'x,y,z'
'-x,-y,-z'
'-x,y,-z'
'x,-y,z'
'x+1/2,y+1/2,z'
'-x+1/2,-y+1/2,-z'
'-x+1/2,y+1/2,-z'
'x+1/2,-y+1/2,z'
loop_
_atom_site_label
_atom_site_fract_x
_atom_site_fract_y
_atom_site_fract_z
Cs1 0.000 0.000 0.000
In1 0.000 0.000 0.500
Hg1 0.000 0.500 0.500
Hg2 0.119 0.384 0.230
Hg3 0.172 0.178 0.353
Hg4 0.250 0.250 0.000
# Total moment (μB/cell): 0.000
# Total energy (eV per atom): -0.61

(7)
# CsInHg2 | Alexandria via LeMat-Bulk | PBE-GGA | optimized geometry
data_CsInHg2
_space_group_name_H-M_alt 'P 4/m m m'
_space_group_IT_number 123
_space_group_name_Hall '-P 4 2'
_cell_length_a 5.757
_cell_length_b 5.757
_cell_length_c 4.359
_cell_angle_alpha 90.00
_cell_angle_beta 90.00
_cell_angle_gamma 90.00
loop_
_atom_site_label
_atom_site_fract_x
_atom_site_fract_y
_atom_site_fract_z
Cs1 0.000 0.000 0.000
In1 0.500 0.500 0.000
Hg1 0.000 0.500 0.500
# Total moment (μB/cell): 0.000
# Total energy (eV per atom): -1.08

(8)
# CsIn4Hg6 | Alexandria via LeMat-Bulk | PBE-GGA | optimized geometry
data_CsIn4Hg6
_space_group_name_H-M_alt 'P -6'
_space_group_IT_number 174
_cell_length_a 8.5655
_cell_length_b 8.5655
_cell_length_c 5.1374
_cell_angle_alpha 90.00
_cell_angle_beta 90.00
_cell_angle_gamma 120.00
loop_
_space_group_symop_operation_xyz
'x,y,z'
'-x+y,-x,-z'
'-y,x-y,z'
'x,y,-z'
'-x+y,-x,z'
'-y,x-y,-z'
loop_
_atom_site_label
_atom_site_fract_x
_atom_site_fract_y
_atom_site_fract_z
Cs1 0.0000 0.0000 0.0000
In1 0.2045 0.7893 0.5000
In2 0.6667 0.3333 0.0000
Hg1 0.0747 0.5343 0.0000
Hg2 0.3989 0.1969 0.5000
# Total moment (μB/cell): 0.000
# Total energy (eV per atom): -1.32

(9)
# Cs3In2Hg6 | Alexandria via LeMat-Bulk | PBE-GGA | optimized geometry
data_Cs3In2Hg6
_space_group_name_H-M_alt 'I 4/m m m'
_space_group_IT_number 139
_space_group_name_Hall '-I 4 2'
_cell_length_a 5.572
_cell_length_b 5.572
_cell_length_c 32.250
_cell_angle_alpha 90.00
_cell_angle_beta 90.00
_cell_angle_gamma 90.00
loop_
_atom_site_label
_atom_site_fract_x
_atom_site_fract_y
_atom_site_fract_z
Cs1 0.000 0.000 0.000
Cs2 0.000 0.000 0.171
In1 0.000 0.000 0.390
Hg1 0.000 0.000 0.289
Hg2 0.000 0.500 0.085
# Total moment (μB/cell): 0.000
# Total energy (eV per atom): -1.04

(10)
# Cs2In2Hg15 | Alexandria via LeMat-Bulk | PBE-GGA | optimized geometry
data_Cs2In2Hg15
_space_group_name_H-M_alt 'R -3 m'
_space_group_IT_number 166
_space_group_name_Hall '-R 3 2"'
_cell_length_a 10.8379
_cell_length_b 10.8379
_cell_length_c 17.2956
_cell_angle_alpha 90.00
_cell_angle_beta 90.00
_cell_angle_gamma 120.00
loop_
_atom_site_label
_atom_site_fract_x
_atom_site_fract_y
_atom_site_fract_z
Cs1 0.0000 0.0000 0.1671
In1 0.0000 0.0000 0.4037
Hg1 0.0000 0.2910 0.5000
Hg2 0.0000 0.5000 0.0000
Hg3 0.0117 0.5058 0.6398
# Total moment (μB/cell): 0.000
# Total energy (eV per atom): -0.72

(11)
# Cs3In2Hg9 | Alexandria via LeMat-Bulk | PBE-GGA | optimized geometry
data_Cs3In2Hg9
_space_group_name_H-M_alt 'I m m m'
_space_group_IT_number 71
_space_group_name_Hall '-I 2 2'
_cell_length_a 5.457
_cell_length_b 10.897
_cell_length_c 16.268
_cell_angle_alpha 90.00
_cell_angle_beta 90.00
_cell_angle_gamma 90.00
loop_
_atom_site_label
_atom_site_fract_x
_atom_site_fract_y
_atom_site_fract_z
Cs1 0.000 0.000 0.000
Cs2 0.000 0.000 0.280
In1 0.000 0.158 0.500
Hg1 0.000 0.296 0.137
Hg2 0.000 0.347 0.347
Hg3 0.000 0.500 0.000
# Total moment (μB/cell): 0.000
# Total energy (eV per atom): -0.95

(12)
# CsInHg2 | Alexandria via LeMat-Bulk | PBE-GGA | optimized geometry
data_CsInHg2
_space_group_name_H-M_alt 'R 3 m'
_space_group_IT_number 160
_space_group_name_Hall 'R 3 -2"'
_cell_length_a 5.1794
_cell_length_b 5.1794
_cell_length_c 20.8385
_cell_angle_alpha 90.00
_cell_angle_beta 90.00
_cell_angle_gamma 120.00
loop_
_atom_site_label
_atom_site_fract_x
_atom_site_fract_y
_atom_site_fract_z
Cs1 0.0000 0.0000 0.0000
In1 0.0000 0.0000 0.1863
Hg1 0.0000 0.0000 0.5423
Hg2 0.0000 0.0000 0.8015
# Total moment (μB/cell): 0.000
# Total energy (eV per atom): -1.18